Entry 1:
This record from the Alexandria database describes Ca2CuC after structural relaxation. The functional is PBE-GGA.

Cell lengths 7.291, 7.291, 6.135 Å; angles 53.54, 53.54, 90.00 degrees
Sites, in units of the cell vectors:
Ca 0.875 0.810 0.750
Ca 0.560 0.125 0.250
Ca 0.190 0.625 0.250
Ca 0.375 0.440 0.750
Cu 0.750 0.250 0.500
Cu 0.000 0.000 0.000
C 0.500 0.500 0.000
C 0.250 0.750 0.500

Properties
The calculation puts the density of states at the Fermi level at 6.9 states/eV/cell. As for the formation energy: 657 meV per atom. The space group is I-42d (122).

***

Entry 2:
This record from the Alexandria database describes CaCuC3 after structural relaxation. The functional is PBE-GGA.

Cell lengths 3.952, 3.952, 3.952 Å; angles 90.00, 90.00, 90.00 degrees
Sites, in units of the cell vectors:
Cu 0.000 0.000 0.000
C 0.500 0.000 0.000
C 0.000 0.000 0.500
C 0.000 0.500 0.000
Ca 0.500 0.500 0.500

Properties
The calculation puts the density of states at the Fermi level at 3.2 states/eV/cell. As for the formation energy: 1971 meV per atom. The space group is Pm-3m (221). As for the energy relative to the lowest polymorph listed for this composition: 0 meV/atom.

***

Entry 3:
This record from the Alexandria database describes CaCuC2 after structural relaxation. The functional is PBE-GGA.

Cell lengths 4.061, 4.061, 4.061 Å; angles 60.00, 60.00, 60.00 degrees
Sites, in units of the cell vectors:
C 0.250 0.250 0.250
C 0.750 0.750 0.750
Cu 0.500 0.500 0.500
Ca 0.000 0.000 0.000

Properties
The calculation puts the density of states at the Fermi level at 2.5 states/eV/cell. As for the formation energy: 1537 meV per atom. The space group is Fm-3m (225).

***

Entry 4:
This record from the Alexandria database describes Ca2FeCuC after structural relaxation. The functional is PBE-GGA.

Cell lengths 5.092, 5.092, 3.666 Å; angles 90.00, 90.00, 90.00 degrees
Site moments in Bohr magnetons follow the coordinates.
Sites, in units of the cell vectors:
C 0.000 0.000 0.000  -0.06
Fe 0.000 0.000 0.500  1.35
Ca 0.500 0.000 0.000  -0.02
Ca 0.000 0.500 0.000  -0.02
Cu 0.500 0.500 0.500  0.03

Properties
The calculation puts the density of states at the Fermi level at 6.1 states/eV/cell. As for the formation energy: 120 meV per atom. The space group is P4/mmm (123).

***

Entry 5:
This record from the Alexandria database describes CaFeCuC2 after structural relaxation. The functional is PBE-GGA.

Cell lengths 3.769, 4.528, 3.769 Å; angles 90.00, 90.00, 90.00 degrees
Sites, in units of the cell vectors:
Fe 0.000 0.000 0.000
Ca 0.500 0.500 0.500
Cu 0.000 0.500 0.000
C 0.000 0.000 0.500
C 0.500 0.000 0.000

Properties
The calculation puts the density of states at the Fermi level at 3.5 states/eV/cell. As for the formation energy: 811 meV per atom. The space group is P4/mmm (123).

***

Entry 6:
This record from the Alexandria database describes CaFeCuC after structural relaxation. The functional is PBE-GGA.

Cell lengths 3.456, 3.456, 9.910 Å; angles 90.00, 90.00, 90.00 degrees
Sites, in units of the cell vectors:
Fe 0.250 0.750 0.000
Fe 0.750 0.250 0.000
Ca 0.750 0.750 0.244
Ca 0.250 0.250 0.756
C 0.750 0.750 0.915
C 0.250 0.250 0.085
Cu 0.250 0.750 0.500
Cu 0.750 0.250 0.500

Properties
The calculation puts the density of states at the Fermi level at 5.3 states/eV/cell. As for the formation energy: -43 meV per atom. The space group is P4/nmm (129).

***

Entry 7:
This record from the Alexandria database describes CaCuHg2C after structural relaxation. The functional is PBE-GGA.

Cell lengths 4.919, 5.566, 4.919 Å; angles 90.00, 90.00, 90.00 degrees
Site moments in Bohr magnetons follow the coordinates.
Sites, in units of the cell vectors:
Ca 0.000 0.500 0.000  0.01
Hg 0.500 0.000 0.000  0.03
Hg 0.000 0.000 0.500  0.01
C 0.500 0.500 0.500  0.95
Cu 0.000 0.000 0.000  0.01

Properties
The calculation puts the density of states at the Fermi level at 2.2 states/eV/cell. As for the formation energy: 1144 meV per atom. The space group is P4/mmm (123).

***

Entry 8:
This record from the Alexandria database describes Ca2CuIrC after structural relaxation. The functional is PBE-GGA.

Cell lengths 5.095, 5.095, 3.841 Å; angles 90.00, 90.00, 90.00 degrees
Sites, in units of the cell vectors:
Cu 0.500 0.500 0.500
Ir 0.000 0.000 0.500
Ca 0.500 0.000 0.000
Ca 0.000 0.500 0.000
C 0.000 0.000 0.000

Properties
The calculation puts the density of states at the Fermi level at 1.3 states/eV/cell. As for the formation energy: -167 meV per atom. The space group is P4/mmm (123).

***

Entry 9:
This record from the Alexandria database describes Ca2LaCuC after structural relaxation. The functional is PBE-GGA.

Cell lengths 5.413, 3.915, 5.413 Å; angles 90.00, 90.00, 90.00 degrees
Sites, in units of the cell vectors:
C 0.000 0.000 0.000
La 0.500 0.500 0.500
Ca 0.000 0.000 0.500
Ca 0.500 0.000 0.000
Cu 0.000 0.500 0.000

Properties
The calculation puts the density of states at the Fermi level at 6.6 states/eV/cell. As for the formation energy: 522 meV per atom. The space group is P4/mmm (123).

***

Entry 10:
This record from the Alexandria database describes CaMnCu2C after structural relaxation. The functional is PBE-GGA.

Cell lengths 3.980, 4.818, 3.980 Å; angles 90.00, 90.00, 90.00 degrees
Site moments in Bohr magnetons follow the coordinates.
Sites, in units of the cell vectors:
Cu 0.000 0.000 0.500  0.06
Cu 0.500 0.000 0.000  0.05
Ca 0.000 0.500 0.000  -0.02
C 0.000 0.000 0.000  0.10
Mn 0.500 0.500 0.500  3.87

Properties
The calculation puts the density of states at the Fermi level at 2.5 states/eV/cell. As for the formation energy: 635 meV per atom. The space group is P4/mmm (123).

***

Entry 11:
This record from the Alexandria database describes Ca2CuCN2O2 after structural relaxation. The functional is PBE-GGA.

Cell lengths 3.756, 3.756, 7.861 Å; angles 90.00, 90.00, 90.00 degrees
Site moments in Bohr magnetons follow the coordinates.
Sites, in units of the cell vectors:
O 0.000 0.500 0.500  0.02
O 0.500 0.000 0.500  0.02
C 0.000 0.000 0.000  0.00
N 0.000 0.000 0.842  0.00
N 0.000 0.000 0.158  0.00
Cu 0.000 0.000 0.500  0.09
Ca 0.500 0.500 0.702  0.00
Ca 0.500 0.500 0.298  0.00

Properties
The energy relative to the elements, uncorrected is -116.94 kJ/mol of atoms. The calculation puts the density of states at the Fermi level at 1.2 states/eV/cell. The space group is P4/mmm (123).

***

Entry 12:
This record from the Alexandria database describes Ca2NbCuC after structural relaxation. The functional is PBE-GGA.

Cell lengths 5.775, 3.995, 5.775 Å; angles 90.00, 90.00, 90.00 degrees
Sites, in units of the cell vectors:
Cu 0.500 0.500 0.500
Ca 0.500 0.000 0.000
Ca 0.000 0.000 0.500
C 0.000 0.500 0.000
Nb 0.000 0.000 0.000

Properties
The calculation puts the density of states at the Fermi level at 4.0 states/eV/cell. As for the formation energy: 1083 meV per atom. The space group is P4/mmm (123).

***

The lowest density of states at the Fermi level belongs to which entry?
Ca2CuCN2O2